The following is a DFT calculation (SCAN) of a PBEsol-optimized structure of Li2CaAu.

Properties
size of the total moment: 0.1 μB per formula unit
space-group type: P4mm
N(E_F): 1.97 states/eV/f.u.
energy of formation from the pure elements: -0.458 eV/atom

a b c (Å): 3.549 3.549 6.789
angles (deg): 90.00 90.00 90.00
Sites, in units of the cell vectors:
Ca1 0.500 0.500 0.293
Au1 0.000 0.000 0.544
Li1 0.000 0.000 0.935
Li2 0.500 0.500 0.728

The following is a DFT calculation (SCAN) of a PBEsol-optimized structure of Li2CaAu.

Properties
size of the total moment: 0.0 μB per formula unit
space-group type: Immm
N(E_F): 1.59 states/eV/f.u.
energy of formation from the pure elements: -0.486 eV/atom

a b c (Å): 3.608 4.763 5.713
angles (deg): 114.64 108.41 90.00
Sites, in units of the cell vectors:
Ca1 0.000 0.500 0.000
Au1 0.500 0.000 0.000
Li1 0.787 0.787 0.574
Li2 0.213 0.213 0.426

The following is a DFT calculation (SCAN) of a PBEsol-optimized structure of Li2CaAu.

Properties
size of the total moment: 0.0 μB per formula unit
space-group type: Imm2
N(E_F): 1.93 states/eV/f.u.
energy of formation from the pure elements: -0.473 eV/atom

a b c (Å): 4.738 4.888 4.888
angles (deg): 60.92 61.01 61.01
Sites, in units of the cell vectors:
Ca1 0.753 0.747 0.747
Au1 0.515 0.485 0.485
Li1 0.988 0.012 0.012
Li2 0.244 0.256 0.256

The following is a DFT calculation (SCAN) of a PBEsol-optimized structure of LiCa2Au2.

Properties
size of the total moment: 0.0 μB per formula unit
space-group type: P4/mbm
N(E_F): 2.27 states/eV/f.u.
energy of formation from the pure elements: -0.802 eV/atom

a b c (Å): 4.048 7.658 7.658
angles (deg): 90.00 90.00 90.00
Sites, in units of the cell vectors:
Ca1 0.500 0.168 0.668
Ca2 0.500 0.668 0.832
Ca3 0.500 0.832 0.332
Ca4 0.500 0.332 0.168
Au1 0.000 0.368 0.868
Au2 0.000 0.868 0.632
Au3 0.000 0.632 0.132
Au4 0.000 0.132 0.368
Li1 0.000 0.000 0.000
Li2 0.000 0.500 0.500

The following is a DFT calculation (SCAN) of a PBEsol-optimized structure of LiCa2PdAu.

Properties
size of the total moment: 0.0 μB per formula unit
space-group type: P4/mmm
N(E_F): 2.36 states/eV/f.u.
energy of formation from the pure elements: -0.031 eV/atom

a b c (Å): 4.230 5.299 5.299
angles (deg): 90.00 90.00 90.00
Sites, in units of the cell vectors:
Ca1 0.000 0.000 0.500
Ca2 0.000 0.500 0.000
Au1 0.500 0.000 0.000
Pd1 0.500 0.500 0.500
Li1 0.000 0.000 0.000

The following is a DFT calculation (SCAN) of a PBEsol-optimized structure of Rb2LiCaAu.

Properties
size of the total moment: 0.0 μB per formula unit
space-group type: P4/mmm
N(E_F): 3.40 states/eV/f.u.
energy of formation from the pure elements: 0.296 eV/atom

a b c (Å): 5.377 7.463 7.463
angles (deg): 90.00 90.00 90.00
Sites, in units of the cell vectors:
Ca1 0.000 0.000 0.000
Au1 0.500 0.000 0.000
Rb1 0.000 0.000 0.500
Rb2 0.000 0.500 0.000
Li1 0.500 0.500 0.500

The following is a DFT calculation (SCAN) of a PBEsol-optimized structure of Ca4MgAu.

Properties
size of the total moment: 0.7 μB per formula unit
space-group type: F-43m
N(E_F): 4.55 states/eV/f.u.
energy of formation from the pure elements: 0.362 eV/atom

a b c (Å): 6.481 6.481 6.481
angles (deg): 60.00 60.00 60.00
Sites, in units of the cell vectors:
Au1 0.000 0.000 0.000
Ca1 0.375 0.375 0.375
Ca2 0.375 0.375 0.876
Ca3 0.876 0.375 0.375
Ca4 0.375 0.876 0.375
Mg1 0.750 0.750 0.750

The following is a DFT calculation (SCAN) of a PBEsol-optimized structure of CaMg3Au.

Properties
size of the total moment: 0.0 μB per formula unit
space-group type: Pm-3m
N(E_F): 2.33 states/eV/f.u.
energy of formation from the pure elements: 1.182 eV/atom

a b c (Å): 5.942 5.942 5.942
angles (deg): 90.00 90.00 90.00
Sites, in units of the cell vectors:
Ca1 0.000 0.000 0.000
Au1 0.500 0.500 0.500
Mg1 0.000 0.500 0.000
Mg2 0.000 0.000 0.500
Mg3 0.500 0.000 0.000

The following is a DFT calculation (SCAN) of a PBEsol-optimized structure of Ca2MgTiAu.

Properties
size of the total moment: 2.2 μB per formula unit
space-group type: P4/mmm
N(E_F): 4.27 states/eV/f.u.
energy of formation from the pure elements: -0.022 eV/atom

a b c (Å): 4.981 5.600 5.600
angles (deg): 90.00 90.00 90.00
Sites, in units of the cell vectors:
Ca1 0.000 0.000 0.500
Ca2 0.000 0.500 0.000
Au1 0.000 0.000 0.000
Mg1 0.500 0.500 0.500
Ti1 0.500 0.000 0.000

The following is a DFT calculation (SCAN) of a PBEsol-optimized structure of Ca3MnAu.

Properties
size of the total moment: 5.1 μB per formula unit
space-group type: Pm-3m
N(E_F): 3.64 states/eV/f.u.
energy of formation from the pure elements: -0.140 eV/atom

a b c (Å): 5.559 5.559 5.559
angles (deg): 90.00 90.00 90.00
Sites, in units of the cell vectors:
Ca1 0.000 0.500 0.000
Ca2 0.000 0.000 0.500
Ca3 0.500 0.000 0.000
Mn1 0.500 0.500 0.500
Au1 0.000 0.000 0.000

The following is a DFT calculation (SCAN) of a PBEsol-optimized structure of CaMnAu.

Properties
size of the total moment: 4.4 μB per formula unit
space-group type: I4mm
N(E_F): 1.38 states/eV/f.u.
energy of formation from the pure elements: -0.467 eV/atom

a b c (Å): 3.480 3.480 5.767
angles (deg): 107.56 107.56 90.00
Sites, in units of the cell vectors:
Ca1 0.339 0.339 0.678
Mn1 0.629 0.629 0.258
Au1 0.032 0.032 0.064

The following is a DFT calculation (SCAN) of a PBEsol-optimized structure of CaMnAu.

Properties
size of the total moment: 4.5 μB per formula unit
space-group type: F-43m
N(E_F): 2.84 states/eV/f.u.
energy of formation from the pure elements: 0.183 eV/atom

a b c (Å): 4.689 4.689 4.689
angles (deg): 60.00 60.00 60.00
Sites, in units of the cell vectors:
Ca1 0.250 0.250 0.250
Mn1 0.000 0.000 0.000
Au1 0.500 0.500 0.500

The following is a DFT calculation (SCAN) of a PBEsol-optimized structure of CaMnPdAu2.

Properties
size of the total moment: 3.9 μB per formula unit
space-group type: P4/mmm
N(E_F): 3.06 states/eV/f.u.
energy of formation from the pure elements: 0.441 eV/atom

a b c (Å): 4.732 4.732 4.979
angles (deg): 90.00 90.00 90.00
Sites, in units of the cell vectors:
Ca1 0.000 0.000 0.500
Mn1 0.000 0.000 0.000
Au1 0.000 0.500 0.000
Au2 0.500 0.000 0.000
Pd1 0.500 0.500 0.500

The following is a DFT calculation (SCAN) of a PBEsol-optimized structure of CaMo2Au.

Properties
size of the total moment: 0.0 μB per formula unit
space-group type: C2/m
N(E_F): 3.38 states/eV/f.u.
energy of formation from the pure elements: 0.464 eV/atom

a b c (Å): 2.680 5.270 5.730
angles (deg): 114.73 98.76 100.22
Sites, in units of the cell vectors:
Mo1 0.000 0.000 0.500
Mo2 0.500 0.500 0.500
Au1 0.500 0.000 0.000
Ca1 0.000 0.500 0.000

The following is a DFT calculation (SCAN) of a PBEsol-optimized structure of CaMoAu2.

Properties
size of the total moment: 1.2 μB per formula unit
space-group type: P4/mmm
N(E_F): 2.57 states/eV/f.u.
energy of formation from the pure elements: -0.129 eV/atom

a b c (Å): 2.949 4.981 4.981
angles (deg): 90.00 90.00 90.00
Sites, in units of the cell vectors:
Mo1 0.500 0.000 0.000
Au1 0.000 0.000 0.500
Au2 0.000 0.500 0.000
Ca1 0.500 0.500 0.500

The following is a DFT calculation (SCAN) of a PBEsol-optimized structure of CaMo2Au.

Properties
size of the total moment: 0.0 μB per formula unit
space-group type: P4mm
N(E_F): 4.18 states/eV/f.u.
energy of formation from the pure elements: 0.130 eV/atom

a b c (Å): 3.229 3.229 7.293
angles (deg): 90.00 90.00 90.00
Sites, in units of the cell vectors:
Mo1 0.000 0.000 0.062
Mo2 0.500 0.500 0.223
Au1 0.000 0.000 0.470
Ca1 0.500 0.500 0.745

The following is a DFT calculation (SCAN) of a PBEsol-optimized structure of CaMo2Au.

Properties
size of the total moment: 0.0 μB per formula unit
space-group type: F-43m
N(E_F): 3.27 states/eV/f.u.
energy of formation from the pure elements: 0.409 eV/atom

a b c (Å): 4.621 4.621 4.621
angles (deg): 60.00 60.00 60.00
Sites, in units of the cell vectors:
Mo1 0.000 0.000 0.000
Mo2 0.750 0.750 0.750
Au1 0.500 0.500 0.500
Ca1 0.250 0.250 0.250

The following is a DFT calculation (SCAN) of a PBEsol-optimized structure of CaMoAu2.

Properties
size of the total moment: 0.0 μB per formula unit
space-group type: R-3m
N(E_F): 3.00 states/eV/f.u.
energy of formation from the pure elements: 0.293 eV/atom

a b c (Å): 2.954 2.954 9.731
angles (deg): 81.27 81.27 60.00
Sites, in units of the cell vectors:
Mo1 0.000 0.000 0.000
Au1 0.254 0.254 0.237
Au2 0.746 0.746 0.763
Ca1 0.500 0.500 0.500

The following is a DFT calculation (SCAN) of a PBEsol-optimized structure of Ca4MoAu.

Properties
size of the total moment: 5.0 μB per formula unit
space-group type: F-43m
N(E_F): 2.72 states/eV/f.u.
energy of formation from the pure elements: 0.855 eV/atom

a b c (Å): 6.130 6.130 6.130
angles (deg): 60.00 60.00 60.00
Sites, in units of the cell vectors:
Au1 0.000 0.000 0.000
Ca1 0.375 0.375 0.375
Ca2 0.375 0.375 0.875
Ca3 0.875 0.375 0.375
Ca4 0.375 0.875 0.375
Mo1 0.750 0.750 0.750

The following is a DFT calculation (SCAN) of a PBEsol-optimized structure of CaNiMoAu2.

Properties
size of the total moment: 4.0 μB per formula unit
space-group type: P4/mmm
N(E_F): 1.83 states/eV/f.u.
energy of formation from the pure elements: 1.450 eV/atom

a b c (Å): 4.366 4.988 4.988
angles (deg): 90.00 90.00 90.00
Sites, in units of the cell vectors:
Ni1 0.500 0.000 0.000
Mo1 0.500 0.500 0.500
Au1 0.000 0.000 0.500
Au2 0.000 0.500 0.000
Ca1 0.000 0.000 0.000